# 1
This record from the Alexandria database describes Ca2DyNpSb4 after structural relaxation. The functional is PBE-GGA.

- formation energy (no corrections) (eV per atom) = -0.745

a b c (Å): 7.673 4.483 7.739
angles (deg): 90.00 109.58 90.00
Space group P2/m (No. 10)
Asymmetric unit:
Ca: 0.000 0.000 0.000 x1
Ca: 0.500 0.500 0.000 x1
Dy: 0.000 0.500 0.500 x1
Np: 0.500 0.000 0.500 x1
Sb: 0.250 0.000 0.735 x2
Sb: 0.259 0.500 0.266 x2

---

# 2
This record from the Alexandria database describes Th4TlCo after structural relaxation. The functional is PBE-GGA.

- energy of formation from the pure elements (eV per atom) = -0.104

a b c (Å): 6.281 7.411 8.105
angles (deg): 107.70 104.81 95.64
Space group P-1 (No. 2)
Asymmetric unit:
Th: 0.030 0.437 0.220 x2
Th: 0.141 0.932 0.208 x2
Th: 0.377 0.326 0.614 x2
Th: 0.426 0.202 0.026 x2
Tl: 0.246 0.844 0.598 x2
Co: 0.321 0.559 0.051 x2

---

# 3
This record from the Alexandria database describes BaCa2Mg after structural relaxation. The functional is PBE-GGA.

- energy of formation from the pure elements (eV per atom) = 0.036

a b c (Å): 4.829 5.793 5.906
angles (deg): 90.00 90.00 90.00
Space group Pmmm (No. 47)
Asymmetric unit:
Ba: 0.000 0.000 0.000 x1
Ca: 0.000 0.500 0.500 x1
Ca: 0.500 0.000 0.500 x1
Mg: 0.500 0.500 0.000 x1

---

# 4
This record from the Alexandria database describes Cd3Ga2Ag4 after structural relaxation. The functional is PBE-GGA.

- distance to the lowest polymorph of the same formula (eV per atom) = 0.0051
- energy of formation from the pure elements (eV per atom) = 0.011

a b c (Å): 13.294 10.310 5.145
angles (deg): 90.00 99.15 90.00
Space group C2/c (No. 15)
Asymmetric unit:
Cd: 0.000 0.136 0.250 x4
Cd: 0.165 0.361 0.072 x8
Ga: 0.227 0.117 0.384 x8
Ag: 0.058 0.380 0.530 x8
Ag: 0.111 0.114 0.797 x8